Record 1
First-principles (PBE-GGA) data for crystalline TcC3F at its relaxed geometry, as listed in the Open Quantum Materials Database.

Energy = -7.49 eV/atom

```
TcC3F
1.0
5.3839 0.0000 0.0000
0.0000 5.1167 0.0000
-4.0705 0.0000 9.9267
C Tc F
12 4 4
direct
0.4411 0.8152 0.2528
0.9978 0.1090 0.0321
0.9393 0.8214 0.4010
0.0022 0.8910 0.9679
0.0607 0.1786 0.5990
0.5589 0.3152 0.2472
0.0607 0.3214 0.0990
0.0022 0.6090 0.4679
0.9393 0.6786 0.9010
0.9978 0.3910 0.5321
0.4411 0.6848 0.7528
0.5589 0.1848 0.7472
0.6334 0.0481 0.3796
0.6334 0.4519 0.8796
0.3666 0.5481 0.1204
0.3666 0.9519 0.6204
0.6143 0.7877 0.5417
0.6143 0.7123 0.0417
0.3857 0.2123 0.4583
0.3857 0.2877 0.9583
```

=====

Record 2
First-principles (PBE-GGA) data for crystalline ErScIn at its relaxed geometry, as listed in the Open Quantum Materials Database.

Excess energy over the best structure of this formula in the dataset = 781 meV/atom

```
ErScIn
1.0
-2.0373 1.3042 4.4143
-4.6546 -1.5177 1.1702
-0.6899 -3.4730 3.5777
Sc In Er
1 1 1
direct
0.7500 0.7500 0.7500
0.2500 0.2500 0.2500
0.0000 0.0000 0.0000
```

=====

Record 3
First-principles (PBE-GGA) data for crystalline LiScZnGe at its relaxed geometry, as listed in the Open Quantum Materials Database.

Excess energy over the best structure of this formula in the dataset = 253 meV/atom

```
LiScZnGe
1.0
-0.8093 -0.4822 4.4414
-0.5732 3.6674 2.6143
-4.1050 0.9724 1.6782
Zn Sc Li Ge
1 1 1 1
direct
0.5000 0.5000 0.5000
0.7500 0.7500 0.7500
0.0000 0.0000 0.0000
0.2500 0.2500 0.2500
```

=====

Record 4
First-principles (PBE-GGA) data for crystalline Hf2BiB2 at its relaxed geometry, as listed in the Open Quantum Materials Database.

Energy = -7.94 eV/atom

```
Hf2BiB2
1.0
1.5724 -7.8952 0.0000
1.5724 7.8952 0.0000
0.0000 0.0000 3.3172
Hf Bi B
2 1 2
direct
0.6618 0.3382 0.5000
0.3382 0.6618 0.5000
0.0000 0.0000 0.0000
0.7752 0.2248 0.0000
0.2248 0.7752 0.0000
```